(1)
The following is a PBE calculation of an optimized crystal structure of KBaNaSi, from Alexandria via LeMat-Bulk.

Calculated density (Mg/m³): 2.9
Formation energy (no corrections) (eV per atom): 0.01
VASP energy (eV per cell): -9.73

Unit cell a=5.6581 b=5.6581 c=5.6581 alpha=60.00 beta=60.00 gamma=60.00
Last column: nearest neighbours and their distance in Å.
Atoms (fractional coordinates):
K 0.0000 0.0000 0.0000  4 Ba 3.46, 4 Na 3.46
Ba 0.7500 0.7500 0.7500  4 Si 3.46, 4 K 3.46
Na 0.2500 0.2500 0.2500  4 K 3.46, 4 Si 3.46
Si 0.5000 0.5000 0.5000  4 Ba 3.46, 4 Na 3.46

=====

(2)
The following is a PBE calculation of an optimized crystal structure of K4Np3AgS8, from Alexandria via LeMat-Bulk.

Calculated density (Mg/m³): 4.9
Formation energy (no corrections) (eV per atom): -1.23
VASP energy (eV per cell): -98.80

Unit cell a=8.7000 b=8.7000 c=8.7000 alpha=55.68 beta=55.68 gamma=55.68
Last column: nearest neighbours and their distance in Å.
Atoms (fractional coordinates):
K 0.0000 0.0000 0.0000  6 S 3.14
K 0.0000 0.5000 0.5000  6 S 3.21-3.26
K 0.5000 0.0000 0.5000  6 S 3.21-3.26
K 0.5000 0.5000 0.0000  6 S 3.21-3.26
Np 0.0000 0.0000 0.5000  6 S 2.72-2.77
Np 0.0000 0.5000 0.0000  6 S 2.72-2.77
Np 0.5000 0.0000 0.0000  6 S 2.72-2.77
Ag 0.5000 0.5000 0.5000  6 S 2.86
S 0.2173 0.7411 0.7411  2 Np 2.72, 1 Ag 2.86
S 0.2337 0.2337 0.2337  3 Np 2.77
S 0.2589 0.2589 0.7827  2 Np 2.72, 1 Ag 2.86
S 0.2589 0.7827 0.2589  2 Np 2.72, 1 Ag 2.86
S 0.7411 0.2173 0.7411  2 Np 2.72, 1 Ag 2.86
S 0.7411 0.7411 0.2173  2 Np 2.72, 1 Ag 2.86
S 0.7663 0.7663 0.7663  3 Np 2.77
S 0.7827 0.2589 0.2589  2 Np 2.72, 1 Ag 2.86

=====

(3)
The following is a PBE calculation of an optimized crystal structure of RbCuRuI6, from Alexandria via LeMat-Bulk.

Calculated density (Mg/m³): 4.5
Formation energy (no corrections) (eV per atom): -0.33
VASP energy (eV per cell): -26.59

Unit cell a=7.1866 b=7.1866 c=8.3592 alpha=90.00 beta=90.00 gamma=120.00
Last column: nearest neighbours and their distance in Å.
Atoms (fractional coordinates):
Rb 0.0000 0.0000 0.0000  6 I 3.73
Cu 0.6667 0.3333 0.5000  6 I 2.80
Ru 0.3333 0.6667 0.5000  6 I 2.71
I 0.0102 0.3722 0.6844  1 Ru 2.71, 1 Cu 2.80
I 0.0102 0.6380 0.3156  1 Ru 2.71, 1 Cu 2.80
I 0.3620 0.3722 0.3156  1 Ru 2.71, 1 Cu 2.80
I 0.3620 0.9898 0.6844  1 Ru 2.71, 1 Cu 2.80
I 0.6278 0.6380 0.6844  1 Ru 2.71, 1 Cu 2.80
I 0.6278 0.9898 0.3156  1 Ru 2.71, 1 Cu 2.80

=====

What did the third record say?
The following is a PBE calculation of an optimized crystal structure of RbCuRuI6, from Alexandria via LeMat-Bulk.

Calculated density (Mg/m³): 4.5
Formation energy (no corrections) (eV per atom): -0.33
VASP energy (eV per cell): -26.59

Unit cell a=7.1866 b=7.1866 c=8.3592 alpha=90.00 beta=90.00 gamma=120.00
Last column: nearest neighbours and their distance in Å.
Atoms (fractional coordinates):
Rb 0.0000 0.0000 0.0000  6 I 3.73
Cu 0.6667 0.3333 0.5000  6 I 2.80
Ru 0.3333 0.6667 0.5000  6 I 2.71
I 0.0102 0.3722 0.6844  1 Ru 2.71, 1 Cu 2.80
I 0.0102 0.6380 0.3156  1 Ru 2.71, 1 Cu 2.80
I 0.3620 0.3722 0.3156  1 Ru 2.71, 1 Cu 2.80
I 0.3620 0.9898 0.6844  1 Ru 2.71, 1 Cu 2.80
I 0.6278 0.6380 0.6844  1 Ru 2.71, 1 Cu 2.80
I 0.6278 0.9898 0.3156  1 Ru 2.71, 1 Cu 2.80

=====

Q: Look up the calculated density of the third one.
A: 4.5 Mg/m³

=====

Q: The highest calculated density belongs to which entry?
A: K4Np3AgS8

=====

Q: Which value of VASP energy does entry 2 give?
A: -98.80 eV per cell